Entry 1:
Computed, not measured: MgZrRe2 after structural relaxation at the PBE-GGA level of DFT.

Summary:
Calculated formation energy, eV per atom: 0.161
Calculated total energy, eV/atom: -8.598
Symmetry: P2/m

The structure in POSCAR format:
```
MgZrRe2
1.0
2.7376 0.0000 0.0000
0.0000 4.5903 0.0000
-0.9213 0.0000 5.4225
Mg Zr Re
1 1 2
direct
0.0000 0.0000 0.0000
0.5000 0.0000 0.5000
0.2768 0.5000 0.7659
0.7232 0.5000 0.2341
```

Entry 2:
Computed, not measured: Pm2TmS4 after structural relaxation at the PBE-GGA level of DFT.

Summary:
Formation energy (no corrections), eV per atom: -2.02
Calculated total energy, eV/atom: -6.377
Symmetry: Imma

The structure in POSCAR format:
```
Pm2TmS4
1.0
-3.9475 4.0158 5.5310
3.9475 -4.0158 5.5310
3.9475 4.0158 -5.5310
Pm Tm S
4 2 8
direct
0.0000 0.0000 0.0000
0.5000 0.0000 0.0000
0.5000 0.0000 0.5000
0.5000 0.5000 0.5000
0.0000 0.0000 0.5000
0.0000 0.5000 0.0000
0.2348 0.7449 0.4898
0.2448 0.2418 0.4970
0.2449 0.2551 0.9898
0.2448 0.7478 0.0030
0.7552 0.2522 0.9970
0.7551 0.7449 0.0102
0.7552 0.7582 0.5030
0.7652 0.2551 0.5102
```

Entry 3:
Computed, not measured: CeBePd3 after structural relaxation at the PBE-GGA level of DFT.

Summary:
Calculated formation energy, eV per atom: -0.583
Calculated total energy, eV/atom: -5.630
Symmetry: Pm-3m

The structure in POSCAR format:
```
CeBePd3
1.0
4.4264 0.0000 0.0000
0.0000 4.4264 0.0000
0.0000 0.0000 4.4264
Ce Be Pd
1 1 3
direct
0.0000 0.0000 0.0000
0.5000 0.5000 0.5000
0.0000 0.5000 0.5000
0.5000 0.0000 0.5000
0.5000 0.5000 0.0000
```

Entry 4:
Computed, not measured: MnNiCl after structural relaxation at the PBE-GGA level of DFT.

Summary:
Formation energy (no corrections), eV per atom: 0.13
Calculated total energy, eV/atom: -5.465
Symmetry: I4mm

The structure in POSCAR format:
```
MnNiCl
1.0
-1.4824 1.4824 5.2684
1.4824 -1.4824 5.2684
1.4824 1.4824 -5.2684
Mn Ni Cl
1 1 1
direct
0.0000 0.0000 0.0000
0.3612 0.3612 0.0000
0.6649 0.6649 0.0000
```

Question: calculated total energy of number 3 (CeBePd3)?
Answer: -5.630 eV/atom